A geometry-optimized ZrMnBr3 structure. Source: the Alexandria database, functional PBE.

Structure (POSCAR):
```
ZrMnBr3
1.0
4.8883 0.0000 0.0000
0.0000 4.8883 0.0000
0.0000 0.0000 4.8883
Zr Mn Br
1 1 3
Direct
0.0000 0.0000 0.0000
0.5000 0.5000 0.5000
0.0000 0.5000 0.5000
0.5000 0.0000 0.5000
0.5000 0.5000 0.0000
```

Computed properties:
Fermi-level density of states in states/eV per cell: 13.9
E_form (uncorrected) in eV/atom: 0.43
Calculated total energy in eV/cell: -20.57
ΔE to the lowest computed polymorph in eV/atom: 0.6390
Mass density in Mg/m³: 5.49

=====

A geometry-optimized Mn2GaN structure. Source: the Alexandria database, functional PBE.

Structure (POSCAR):
```
Mn2GaN
1.0
5.2980 0.0000 0.0000
0.0000 2.7315 0.0000
-0.8223 0.0000 6.2866
Mn Ga N
4 2 2
Direct
0.0000 0.0000 0.0000
0.1434 0.5000 0.6624
0.3116 0.5000 0.2859
0.6480 0.0000 0.5867
0.6012 0.5000 0.9105
0.8222 0.5000 0.3050
0.2425 0.5000 0.9813
0.2994 0.0000 0.4916
```

Computed properties:
Fermi-level density of states in states/eV per cell: 6.0
E_form (uncorrected) in eV/atom: -0.18
Calculated total energy in eV/cell: -60.80
Mass density in Mg/m³: 7.07

=====

A geometry-optimized Sr2Al2O5 structure. Source: the Alexandria database, functional PBE.

Structure (POSCAR):
```
Sr2Al2O5
1.0
-7.5361 2.7986 2.7314
7.5361 -2.7986 2.7314
7.5361 2.7986 -2.7314
Sr Al O
4 4 10
Direct
0.0141 0.1114 0.1255
0.0141 0.3886 0.4027
0.9859 0.6114 0.5973
0.9859 0.8886 0.8745
0.3997 0.7236 0.1761
0.5037 0.0037 0.5000
0.5037 0.5037 0.0000
0.5474 0.2236 0.8239
0.0049 0.2596 0.7594
0.0049 0.7455 0.2452
0.3304 0.9128 0.9176
0.4670 0.1573 0.5940
0.4670 0.3730 0.8097
0.5002 0.2455 0.2406
0.5002 0.7596 0.7548
0.5633 0.6573 0.1903
0.5633 0.8730 0.4060
0.9952 0.4128 0.0824
```

Computed properties:
Fermi-level density of states in states/eV per cell: 0.0
E_form (uncorrected) in eV/atom: -2.93
Calculated total energy in eV/cell: -124.04
ΔE to the lowest computed polymorph in eV/atom: 0.0000
Mass density in Mg/m³: 4.46

=====

- Among the records above, which one has the lowest mass density?
  Sr2Al2O5